Material: Y2Mg3
Method: DFT, PBE
State: optimized geometry

The space group is R-3m. As for the total energy: -17.510 eV for the cell shown. For the size of the total moment, the calculation gives 0.0 μB/f.u. As for the energy above the most stable polymorph in this dataset: 130 meV per atom. The mass density comes out at 3.02 g cm⁻³. For the formation enthalpy at 0 K, the calculation gives 0.0404 eV/atom.

Structure (extended XYZ):
```
5
Lattice="1.699 0.981 13.776 -1.699 0.981 13.776 0.000 -1.961 13.776" Properties=species:S:1:pos:R:3 pbc="T T T"
Y 0.000 0.000 8.346
Y 0.000 0.000 32.983
Mg 0.000 0.000 0.000
Mg 0.000 0.000 16.371
Mg 0.000 0.000 24.957
```